PmDy2Pb9: relaxed, PBE.

a = 4.8937 Å, b = 4.8937 Å, c = 14.6617 Å
α = 90.00°, β = 90.00°, γ = 90.00°
With the nearest neighbours (Å) after each atom.
Sites, in units of the cell vectors:
Pm  0.0000  0.0000  0.0000  12 Pb 3.46-3.49
Dy  0.0000  0.0000  0.3339  12 Pb 3.44-3.46
Dy  0.0000  0.0000  0.6661  12 Pb 3.44-3.46
Pb  0.0000  0.5000  0.1694  2 Dy 3.44, 8 Pb 3.45-3.49, 2 Pm 3.49
Pb  0.0000  0.5000  0.5000  8 Pb 3.44-3.46, 4 Dy 3.45
Pb  0.0000  0.5000  0.8306  2 Dy 3.44, 8 Pb 3.45-3.49, 2 Pm 3.49
Pb  0.5000  0.0000  0.1694  2 Dy 3.44, 8 Pb 3.45-3.49, 2 Pm 3.49
Pb  0.5000  0.0000  0.5000  8 Pb 3.44-3.46, 4 Dy 3.45
Pb  0.5000  0.0000  0.8306  2 Dy 3.44, 8 Pb 3.45-3.49, 2 Pm 3.49
Pb  0.5000  0.5000  0.0000  4 Pm 3.46, 8 Pb 3.49
Pb  0.5000  0.5000  0.3348  8 Pb 3.44-3.45, 4 Dy 3.46
Pb  0.5000  0.5000  0.6652  8 Pb 3.44-3.45, 4 Dy 3.46

Output
Space group: No. 123
Total energy (eV per atom): -4.248

Na3Zr2CrTe6: relaxed, PBE.

a = 7.2369 Å, b = 7.2369 Å, c = 7.9279 Å
α = 98.79°, β = 98.79°, γ = 119.93°
With the nearest neighbours (Å) after each atom.
Sites, in units of the cell vectors:
Na  0.0000  0.0000  0.0000  6 Te 3.21-3.27
Na  0.3273  0.6727  0.0000  6 Te 3.20-3.24
Na  0.6727  0.3273  0.0000  6 Te 3.20-3.24
Zr  0.1623  0.8377  0.5000  6 Te 2.94-2.97
Zr  0.8377  0.1623  0.5000  6 Te 2.94-2.97
Cr  0.5000  0.5000  0.5000  6 Te 2.85-2.86
Te  0.1061  0.4299  0.2846  1 Cr 2.85, 2 Zr 2.95-2.97
Te  0.2533  0.2533  0.7214  1 Cr 2.86, 2 Zr 2.94
Te  0.4299  0.1061  0.2846  1 Cr 2.85, 2 Zr 2.95-2.97
Te  0.5701  0.8939  0.7154  1 Cr 2.85, 2 Zr 2.95-2.97
Te  0.7467  0.7467  0.2786  1 Cr 2.86, 2 Zr 2.94
Te  0.8939  0.5701  0.7154  1 Cr 2.85, 2 Zr 2.95-2.97

Output
Space group: No. 12
Raw formation energy (eV/atom): -0.751
Total energy (eV per atom): -4.878

Sn3PBr: relaxed, PBE.

a = 5.5573 Å, b = 5.5573 Å, c = 5.5573 Å
α = 90.00°, β = 90.00°, γ = 90.00°
With the nearest neighbours (Å) after each atom.
Sites, in units of the cell vectors:
Sn  0.0000  0.0000  0.5000  2 Br 2.78
Sn  0.0000  0.5000  0.0000  2 Br 2.78
Sn  0.5000  0.0000  0.0000  2 Br 2.78
P  0.5000  0.5000  0.5000  12 Sn 3.93
Br  0.0000  0.0000  0.0000  6 Sn 2.78

Output
Space group: No. 221
Raw formation energy (eV/atom): 0.960
Total energy (eV per atom): -2.858
Polymorph energy (0 for the lowest one) (eV/f.u.): 3.17

KHC2O4: relaxed, PBE.

a = 4.4676 Å, b = 12.9131 Å, c = 8.0272 Å
α = 90.00°, β = 105.47°, γ = 90.00°
With the nearest neighbours (Å) after each atom.
Sites, in units of the cell vectors:
K  0.1769  0.0650  0.2777  7 O 2.75-3.05
K  0.1769  0.4350  0.7777  7 O 2.75-3.05
K  0.8231  0.5650  0.2223  7 O 2.75-3.05
K  0.8231  0.9350  0.7223  7 O 2.75-3.05
H  0.1329  0.7270  0.9727  1 O 1.08
H  0.1329  0.7730  0.4727  1 O 1.08
H  0.8671  0.2270  0.5273  1 O 1.08
H  0.8671  0.2730  0.0273  1 O 1.08
C  0.3197  0.1544  0.7147  2 O 1.26-1.28
C  0.3197  0.3456  0.2147  2 O 1.26-1.28
C  0.3931  0.6714  0.6269  2 O 1.23-1.32
C  0.3931  0.8286  0.1269  2 O 1.23-1.32
C  0.6069  0.1714  0.8731  2 O 1.23-1.32
C  0.6069  0.3286  0.3731  2 O 1.23-1.32
C  0.6803  0.6544  0.7853  2 O 1.26-1.28
C  0.6803  0.8456  0.2853  2 O 1.26-1.28
O  0.1345  0.2311  0.6743  1 C 1.28
O  0.1345  0.2689  0.1743  1 C 1.28
O  0.2380  0.5968  0.5554  1 C 1.23
O  0.2380  0.9032  0.0554  1 C 1.23
O  0.2953  0.0672  0.6432  1 C 1.26
O  0.2953  0.4328  0.1432  1 C 1.26
O  0.3369  0.7310  0.0800  1 H 1.08
O  0.3369  0.7690  0.5800  1 H 1.08
O  0.6631  0.2310  0.4200  1 H 1.08
O  0.6631  0.2690  0.9200  1 H 1.08
O  0.7047  0.5672  0.8568  1 C 1.26
O  0.7047  0.9328  0.3568  1 C 1.26
O  0.7620  0.0968  0.9446  1 C 1.23
O  0.7620  0.4032  0.4446  1 C 1.23
O  0.8655  0.7311  0.8257  1 C 1.28
O  0.8655  0.7689  0.3257  1 C 1.28

Output
Space group: No. 14
Total energy (eV per atom): -6.675

Cd2GaCuSe4: relaxed, PBE.

a = 7.2979 Å, b = 7.2979 Å, c = 7.2979 Å
α = 132.29°, β = 132.29°, γ = 69.77°
With the nearest neighbours (Å) after each atom.
Sites, in units of the cell vectors:
Cd  0.2500  0.7500  0.5000  4 Se 2.67
Cd  0.7500  0.2500  0.5000  4 Se 2.67
Ga  0.0000  0.0000  0.0000  4 Se 2.48
Cu  0.5000  0.5000  0.0000  4 Se 2.47
Se  0.1403  0.1403  0.5017  1 Cu 2.47, 1 Ga 2.48, 2 Cd 2.67
Se  0.3614  0.8597  0.0000  1 Cu 2.47, 1 Ga 2.48, 2 Cd 2.67
Se  0.6386  0.6386  0.4983  1 Cu 2.47, 1 Ga 2.48, 2 Cd 2.67
Se  0.8597  0.3614  0.0000  1 Cu 2.47, 1 Ga 2.48, 2 Cd 2.67

Output
Space group: No. 121
Raw formation energy (eV/atom): -0.536
Total energy (eV per atom): -3.398

ZrInCl2: relaxed, PBE.

a = 6.1915 Å, b = 6.1915 Å, c = 6.1915 Å
α = 141.89°, β = 141.89°, γ = 55.00°
With the nearest neighbours (Å) after each atom.
Sites, in units of the cell vectors:
Zr  0.0000  0.0000  0.0000  4 Cl 2.86
In  0.7500  0.2500  0.5000  4 Cl 2.86
Cl  0.2500  0.7500  0.5000  4 In 2.86
Cl  0.5000  0.5000  0.0000  4 Zr 2.86

Output
Space group: No. 119
Raw formation energy (eV/atom): -0.318
Total energy (eV per atom): -4.063
Polymorph energy (0 for the lowest one) (eV/f.u.): 2.91

NbBN: relaxed, PBE.

a = 7.5394 Å, b = 3.1453 Å, c = 5.5470 Å
α = 90.00°, β = 90.00°, γ = 90.00°
With the nearest neighbours (Å) after each atom.
Sites, in units of the cell vectors:
Nb  0.1488  0.2500  0.1704  4 N 2.07-2.25
Nb  0.3512  0.7500  0.6704  4 N 2.07-2.25
Nb  0.6488  0.2500  0.3296  4 N 2.07-2.25
Nb  0.8512  0.7500  0.8296  4 N 2.07-2.25
B  0.0276  0.7500  0.4694  2 B 1.66
B  0.4724  0.2500  0.9694  2 B 1.66
B  0.5276  0.7500  0.0306  2 B 1.66
B  0.9724  0.2500  0.5306  2 B 1.66
N  0.1411  0.7500  0.9290  4 Nb 2.07-2.25
N  0.3589  0.2500  0.4290  4 Nb 2.07-2.25
N  0.6411  0.7500  0.5710  4 Nb 2.07-2.25
N  0.8589  0.2500  0.0710  4 Nb 2.07-2.25

Output
Space group: No. 62
Raw formation energy (eV/atom): -0.320
Total energy (eV per atom): -8.678

TiH2Se: relaxed, PBE.

a = 6.7238 Å, b = 6.7238 Å, c = 6.7238 Å
α = 147.00°, β = 147.00°, γ = 47.37°
With the nearest neighbours (Å) after each atom.
Sites, in units of the cell vectors:
Ti  0.3750  0.6250  0.7500  4 H 1.81
Ti  0.6250  0.3750  0.2500  4 H 1.81
H  0.0000  0.5000  0.5000  2 Ti 1.81, 2 H 1.91
H  0.5000  0.0000  0.0000  2 Ti 1.81, 2 H 1.91
H  0.5000  0.5000  0.0000  2 Ti 1.81, 2 H 1.91
H  0.5000  0.5000  0.5000  2 Ti 1.81, 2 H 1.91
Se  0.1250  0.8750  0.2500  8 H 2.63, 4 Ti 2.70
Se  0.8750  0.1250  0.7500  8 H 2.63, 4 Ti 2.70

Output
Space group: No. 141
Total energy (eV per atom): -4.673
Polymorph energy (0 for the lowest one) (eV/f.u.): 1.27

YPt2C: relaxed, PBE.

a = 5.8447 Å, b = 5.8447 Å, c = 5.8447 Å
α = 115.26°, β = 115.26°, γ = 98.42°
With the nearest neighbours (Å) after each atom.
Sites, in units of the cell vectors:
Y  0.0000  0.0000  0.0000  4 Pt 2.98
Y  0.7500  0.2500  0.5000  4 Pt 2.98
Pt  0.2509  0.6250  0.1259  2 C 1.99
Pt  0.3750  0.5009  0.6259  2 C 1.99
Pt  0.4991  0.1250  0.8741  2 C 1.99
Pt  0.8750  0.7491  0.3741  2 C 1.99
C  0.2500  0.7500  0.5000  4 Pt 1.99
C  0.5000  0.5000  0.0000  4 Pt 1.99

Output
Space group: No. 122
Total energy (eV per atom): -7.131
Polymorph energy (0 for the lowest one) (eV/f.u.): 0.00

PmPr3Dy: relaxed, PBE.

a = 8.0805 Å, b = 8.0805 Å, c = 6.4498 Å
α = 90.00°, β = 90.00°, γ = 120.05°
With the nearest neighbours (Å) after each atom.
Sites, in units of the cell vectors:
Pm  0.0000  0.0000  0.0000  6 Pr 3.22, 2 Pm 3.22
Pm  0.0000  0.0000  0.5000  6 Pr 3.22, 2 Pm 3.22
Pr  0.1991  0.3992  0.7500  2 Pm 3.22, 2 Pr 3.24
Pr  0.1994  0.8006  0.7500  2 Pm 3.22, 2 Pr 3.24
Pr  0.3992  0.1991  0.2500  2 Pm 3.22, 2 Pr 3.24
Pr  0.6008  0.8009  0.7500  2 Pm 3.22, 2 Pr 3.24
Pr  0.8006  0.1994  0.2500  2 Pm 3.22, 2 Pr 3.24
Pr  0.8009  0.6008  0.2500  2 Pm 3.22, 2 Pr 3.24
Dy  0.3335  0.6665  0.2500  12 Pr 3.73-4.07
Dy  0.6665  0.3335  0.7500  12 Pr 3.73-4.07

Output
Space group: No. 63
Total energy (eV per atom): -4.427
Polymorph energy (0 for the lowest one) (eV/f.u.): 0.00

V3FeSe: relaxed, PBE.

a = 4.3508 Å, b = 4.3508 Å, c = 4.3508 Å
α = 90.00°, β = 90.00°, γ = 90.00°
With the nearest neighbours (Å) after each atom.
Sites, in units of the cell vectors:
V  0.0000  0.0000  0.5000  2 Fe 2.18
V  0.0000  0.5000  0.0000  2 Fe 2.18
V  0.5000  0.0000  0.0000  2 Fe 2.18
Fe  0.0000  0.0000  0.0000  6 V 2.18
Se  0.5000  0.5000  0.5000  12 V 3.08

Output
Space group: No. 221
Raw formation energy (eV/atom): 0.649
Total energy (eV per atom): -7.212
Polymorph energy (0 for the lowest one) (eV/f.u.): 0.00

LaCo5Ge3: relaxed, PBE.

a = 6.3788 Å, b = 6.3788 Å, c = 11.4889 Å
α = 90.00°, β = 90.00°, γ = 144.81°
With the nearest neighbours (Å) after each atom.
Sites, in units of the cell vectors:
La  0.1782  0.8218  0.7500  7 Ge 3.13-3.42, 4 Co 3.30
La  0.8218  0.1782  0.2500  7 Ge 3.13-3.42, 4 Co 3.30
Co  0.0000  0.0000  0.0000  6 Co 2.42-2.61, 4 Ge 2.49
Co  0.0000  0.0000  0.5000  6 Co 2.42-2.61, 4 Ge 2.49
Co  0.1896  0.8104  0.0634  4 Ge 2.29-2.42, 1 Co 2.42
Co  0.1896  0.8104  0.4366  4 Ge 2.29-2.42, 1 Co 2.42
Co  0.4521  0.5479  0.6442  4 Ge 2.34-2.38, 3 Co 2.43-2.61
Co  0.4521  0.5479  0.8558  4 Ge 2.34-2.38, 3 Co 2.43-2.61
Co  0.5479  0.4521  0.1442  4 Ge 2.34-2.38, 3 Co 2.43-2.61
Co  0.5479  0.4521  0.3558  4 Ge 2.34-2.38, 3 Co 2.43-2.61
Co  0.8104  0.1896  0.5634  4 Ge 2.29-2.42, 1 Co 2.42
Co  0.8104  0.1896  0.9366  4 Ge 2.29-2.42, 1 Co 2.42
Ge  0.1029  0.8971  0.2500  6 Co 2.37-2.39
Ge  0.3769  0.6231  0.0434  7 Co 2.29-2.49
Ge  0.3769  0.6231  0.4566  7 Co 2.29-2.49
Ge  0.6231  0.3769  0.5434  7 Co 2.29-2.49
Ge  0.6231  0.3769  0.9566  7 Co 2.29-2.49
Ge  0.8971  0.1029  0.7500  6 Co 2.37-2.39

Output
Space group: No. 63
Total energy (eV per atom): -6.376